# PBE BiP, optimized geometry
data_BiP
_cell_length_a 3.275
_cell_length_b 6.178
_cell_length_c 6.612
_cell_angle_alpha 106.85
_cell_angle_beta 90.00
_cell_angle_gamma 105.12
_space_group_name_H-M_alt 'P 1'
_space_group_IT_number 1
loop_
_space_group_symop_operation_xyz
'x,y,z'
loop_
_atom_site_label
_atom_site_type_symbol
_atom_site_fract_x
_atom_site_fract_y
_atom_site_fract_z
Bi1 Bi 0.003 0.497 0.755
Bi2 Bi 0.997 0.503 0.245
P1 P 0.237 0.974 0.881
P2 P 0.763 0.026 0.119
# ΔE to the lowest computed polymorph ... 0.017 eV per atom
# Energy of formation ... 84 meV/atom
# Size of the total moment ... 0.0 μB/f.u.
# Fermi-level density of states ... 0.92 states/eV per cell